[1]
The following is a DFT calculation (PBE) of crystalline SmGdCd at its relaxed geometry.

a b c (Å): 3.6924 3.6924 12.9739
angles (deg): 90.00 90.00 90.00
Space group I4mm (No. 107)
Unique sites:
Sm (0.0000, 0.0000, 0.0000) x2
Gd (0.0000, 0.0000, 0.6885) x2
Cd (0.0000, 0.0000, 0.3425) x2

Output
- energy relative to the lowest polymorph listed for this composition (meV/atom) = 0.0
- ΔE_f (eV/atom) = -0.21
- energy (eV/atom) = -6.780

---

[2]
The following is a DFT calculation (PBE) of crystalline LiErIn2Br6 at its relaxed geometry.

a b c (Å): 7.5326 7.8570 13.0761
angles (deg): 90.00 124.72 90.00
Space group P2_1/c (No. 14)
Unique sites:
Li (0.0000, 0.0000, 0.0000) x2
Er (0.5000, 0.0000, 0.5000) x2
In (0.2242, 0.0763, 0.7447) x4
Br (0.1586, 0.1997, 0.4579) x4
Br (0.2590, 0.7062, 0.4569) x4
Br (0.3359, 0.0145, 0.2482) x4

Output
- formation energy without anion corrections (eV/atom) = -1.312
- energy (eV/atom) = -3.512

---

[3]
The following is a DFT calculation (PBE) of crystalline KAgF4 at its relaxed geometry.

a b c (Å): 5.7824 5.7824 7.4635
angles (deg): 90.00 90.00 90.00
Space group P4_2/nmc (No. 137, origin choice 2)
Unique sites:
K (0.2500, 0.7500, 0.2500) x2
Ag (0.2500, 0.7500, 0.7500) x2
F (0.0047, 0.7500, 0.5537) x8

Output
- formation energy without anion corrections (eV/atom) = -1.388
- energy relative to the lowest polymorph listed for this composition (meV/atom) = 359.2
- energy (eV/atom) = -3.294

---

[4]
The following is a DFT calculation (PBE) of crystalline Ac2YPbO6 at its relaxed geometry.

a b c (Å): 6.0731 6.3234 10.6787
angles (deg): 90.00 124.32 90.00
Space group P2_1/c (No. 14)
Unique sites:
Ac (0.2300, 0.0548, 0.2477) x4
Y (0.5000, 0.0000, 0.0000) x2
Pb (0.0000, 0.0000, 0.5000) x2
O (0.1357, 0.1901, 0.9350) x4
O (0.2361, 0.7059, 0.9260) x4
O (0.3885, 0.0616, 0.7587) x4

Output
- formation energy without anion corrections (eV/atom) = -2.742
- energy (eV/atom) = -7.555

---

[5]
The following is a DFT calculation (PBE) of crystalline PaTl4Br10 at its relaxed geometry.

a b c (Å): 11.8460 11.8460 7.6964
angles (deg): 90.00 90.00 90.00
Space group I4/m (No. 87)
Unique sites:
Pa (0.0000, 0.0000, 0.0000) x2
Tl (0.0935, 0.6935, 0.5000) x8
Br (0.0000, 0.5000, 0.2500) x4
Br (0.1005, 0.1739, 0.2181) x16

Output
- formation energy without anion corrections (eV/atom) = -0.939
- energy (eV/atom) = -3.318